Record 1
Material: Cu2ReNi
Method: DFT, PBE-GGA
State: relaxed

Results
* calculated volume: 12.784 A^3/atom
* D(E_F): 4.4 states/eV per cell

Lattice parameters (Å, degrees): 8.5376 8.5376 8.5376 17.87 17.87 17.87
Closest atoms and distances in Å follow each position.
Element x y z (fractional)
Re1 0.7500 0.7500 0.7500  6 Re 2.65, 6 Cu 2.68
Ni1 0.2500 0.2500 0.2500  6 Cu 2.52, 6 Ni 2.65
Cu1 0.5040 0.5040 0.5040  3 Ni 2.52, 6 Cu 2.65, 3 Re 2.68
Cu2 0.9960 0.9960 0.9960  3 Ni 2.52, 6 Cu 2.65, 3 Re 2.68

---

Record 2
Material: Cu3ReNi12
Method: DFT, PBE-GGA
State: relaxed

Results
* calculated volume: 11.272 A^3/atom
* D(E_F): 19.5 states/eV per cell

Lattice parameters (Å, degrees): 3.5645 3.5645 14.1941 90.00 90.00 90.00
Closest atoms and distances in Å follow each position.
Element x y z (fractional)
Re1 0.0000 0.0000 0.0000  12 Ni 2.52
Ni1 0.5000 0.0000 0.6239  4 Cu 2.49-2.50, 8 Ni 2.50-2.52
Ni2 0.5000 0.5000 0.2524  8 Ni 2.50-2.53, 4 Cu 2.52
Ni3 0.5000 0.0000 0.1257  8 Ni 2.52-2.53, 2 Re 2.52, 2 Cu 2.54
Ni4 0.0000 0.5000 0.3761  4 Cu 2.49-2.50, 8 Ni 2.50-2.52
Ni5 0.5000 0.5000 0.5000  8 Ni 2.50, 4 Cu 2.52
Ni6 0.5000 0.0000 0.8743  8 Ni 2.52-2.53, 2 Re 2.52, 2 Cu 2.54
Ni7 0.0000 0.5000 0.6239  4 Cu 2.49-2.50, 8 Ni 2.50-2.52
Ni8 0.5000 0.0000 0.3761  4 Cu 2.49-2.50, 8 Ni 2.50-2.52
Ni9 0.5000 0.5000 0.0000  4 Re 2.52, 8 Ni 2.52
Ni10 0.0000 0.5000 0.1257  8 Ni 2.52-2.53, 2 Re 2.52, 2 Cu 2.54
Ni11 0.0000 0.5000 0.8743  8 Ni 2.52-2.53, 2 Re 2.52, 2 Cu 2.54
Ni12 0.5000 0.5000 0.7476  8 Ni 2.50-2.53, 4 Cu 2.52
Cu1 0.0000 0.0000 0.7468  12 Ni 2.49-2.54
Cu2 0.0000 0.0000 0.5000  12 Ni 2.50-2.52
Cu3 0.0000 0.0000 0.2532  12 Ni 2.49-2.54

---

Record 3
Material: Cu2ReNi
Method: DFT, PBE-GGA
State: relaxed

Results
* calculated volume: 12.503 A^3/atom
* D(E_F): 3.8 states/eV per cell

Lattice parameters (Å, degrees): 2.5874 2.5874 7.4700 90.00 90.00 89.88
Closest atoms and distances in Å follow each position.
Element x y z (fractional)
Cu1 0.0000 0.0000 0.0166  4 Ni 2.53, 4 Cu 2.59, 4 Re 2.70-2.71
Cu2 0.0000 0.0000 0.4834  4 Ni 2.53, 4 Cu 2.59, 4 Re 2.70-2.71
Ni1 0.5000 0.5000 0.2500  8 Cu 2.53, 4 Ni 2.59
Re1 0.5000 0.5000 0.7500  4 Re 2.59, 8 Cu 2.70-2.71

---

Record 4
Material: CuReNi14
Method: DFT, PBE-GGA
State: relaxed

Results
* calculated volume: 11.208 A^3/atom
* D(E_F): 26.9 states/eV per cell

Lattice parameters (Å, degrees): 5.0116 5.0116 8.1996 90.00 90.00 119.45
Closest atoms and distances in Å follow each position.
Element x y z (fractional)
Ni1 0.8741 0.1259 0.2457  11 Ni 2.48-2.54, 1 Cu 2.55
Ni2 0.2073 0.7927 0.0000  12 Ni 2.50-2.53
Ni3 0.3754 0.1257 0.7511  10 Ni 2.50-2.53, 1 Re 2.51, 1 Cu 2.52
Ni4 0.5412 0.9554 0.5000  2 Cu 2.50-2.52, 2 Re 2.50-2.51, 8 Ni 2.51-2.54
Ni5 0.8743 0.6246 0.2489  10 Ni 2.50-2.53, 1 Re 2.51, 1 Cu 2.52
Ni6 0.3753 0.6247 0.7501  11 Ni 2.50-2.53, 1 Re 2.52
Ni7 0.0446 0.4588 0.5000  2 Cu 2.50-2.52, 2 Re 2.50-2.51, 8 Ni 2.51-2.54
Ni8 0.3754 0.1257 0.2489  10 Ni 2.50-2.53, 1 Re 2.51, 1 Cu 2.52
Ni9 0.3753 0.6247 0.2499  11 Ni 2.50-2.53, 1 Re 2.52
Ni10 0.8741 0.1259 0.7543  11 Ni 2.48-2.54, 1 Cu 2.55
Ni11 0.7067 0.7924 0.0000  12 Ni 2.49-2.53
Ni12 0.7072 0.2928 0.0000  12 Ni 2.48-2.53
Ni13 0.2076 0.2933 0.0000  12 Ni 2.49-2.53
Ni14 0.8743 0.6246 0.7511  10 Ni 2.50-2.53, 1 Re 2.51, 1 Cu 2.52
Re1 0.5437 0.4563 0.5000  10 Ni 2.50-2.52, 2 Cu 2.53
Cu1 0.0436 0.9564 0.5000  10 Ni 2.50-2.55, 2 Re 2.53

---

Number 1: formation energy from the elements 232 meV/atom. Number 2: formation energy from the elements 26 meV/atom. Number 3: formation energy from the elements 218 meV/atom. Number 4: formation energy from the elements 50 meV/atom.